(1)
Here is crystalline Ca2PaPN5 at its relaxed geometry from Alexandria via LeMat-Bulk. Energies are from GGA-PBE.

The space group is Cmc2_1 (No. 36) and the conventional cell measures 3.2262, 16.4350 and 9.5062 Å, with angles of 90.00, 90.00 and 90.00 degrees. The distinct sites, in fractional coordinates, are Ca at (0.0000, 0.0916, 0.0000), Ca at (0.0000, 0.1047, 0.6339), Pa at (0.0000, 0.2218, 0.3466), P at (0.0000, 0.4391, 0.7685), N at (0.0000, 0.0583, 0.3653), N at (0.0000, 0.2933, 0.0009), N at (0.0000, 0.3435, 0.7094), N at (0.0000, 0.3499, 0.3365) and N at (0.0000, 0.4984, 0.6375).

As for the raw formation energy: -0.811 eV/atom.



(2)
Here is crystalline CaPa2PN5 at its relaxed geometry from Alexandria via LeMat-Bulk. Energies are from GGA-PBE.

The space group is P4/mbm (No. 127) and the conventional cell measures 6.6231, 6.6231 and 5.4034 Å, with angles of 90.00, 90.00 and 90.00 degrees. The distinct sites, in fractional coordinates, are Ca at (0.0000, 0.0000, 0.0000), Pa at (0.1813, 0.3187, 0.5000), P at (0.0000, 0.5000, 0.0000), N at (0.0000, 0.0000, 0.5000) and N at (0.1334, 0.6334, 0.2343).

As for the raw formation energy: -1.053 eV/atom.



These records have volume values of 504.0, 237.0 Å³ per cell, in the order they appear.
These records have uncorrected energy values of -7.54, -8.61 eV per atom, in the order they appear.